Material: VGa2Bi2
Method: DFT, GGA-PBE
State: relaxed

Lattice parameters (Å, degrees): 3.625 3.625 18.489 90.00 90.00 90.00
Space group I4/mmm (No. 139)
Symmetry-distinct sites (fractional):
V: 0.000 0.000 0.000 (multiplicity 2)
Ga: 0.000 0.500 0.250 (multiplicity 4)
Bi: 0.000 0.000 0.410 (multiplicity 4)

Computed properties:
Formation energy = 0.2561 eV per atom
Polymorph energy (0 for the lowest one) = 0 meV per atom
Total magnetic moment = 4.79 μB per cell